VASP calculation (PBE) on crystalline Pa2VCu at its relaxed geometry.

Output
**Calculated formation energy**: 0.51 eV/atom
**Volume**: 20.3 Å³ per atom
**N(E_F)**: 1.4155 states/eV per atom

abc: 2.972 2.972 10.732
angles: 82.04 82.04 60.00
Sites, in units of the cell vectors:
Pa  0.089  0.089  0.733
V  0.500  0.500  0.500
Pa  0.911  0.911  0.267
Cu  0.000  0.000  0.000

---

VASP calculation (PBE) on crystalline TaIrN3 at its relaxed geometry.

Output
**Formation energy from raw total energies**: 1.15 eV/atom
**Volume**: 12.8 Å³ per atom
**N(E_F)**: 1.2863 states/eV per atom

abc: 4.003 4.003 4.003
angles: 90.00 90.00 90.00
Sites, in units of the cell vectors:
N  0.500  0.000  0.000
Ta  0.000  0.000  0.000
N  0.000  0.500  0.000
N  0.000  0.000  0.500
Ir  0.500  0.500  0.500

---

VASP calculation (PBE) on crystalline GaCo3H at its relaxed geometry.

Output
**Offset from the most stable computed form**: 38 meV per atom
**Volume**: 9.5 Å³ per atom
**N(E_F)**: 1.5027 states/eV per atom

abc: 3.594 7.744 3.595
angles: 103.41 90.01 103.41
Last column: magnetic moment on the atom in μB.
Sites, in units of the cell vectors:
Co  0.022  0.412  0.657  0.96
Co  0.272  0.911  0.907  -0.16
Co  0.650  0.667  0.785  0.52
Ga  0.150  0.667  0.285  -0.03
H  0.776  0.919  0.911  0.00
Co  0.522  0.412  0.157  0.96
Co  0.903  0.173  0.038  0.91
Co  0.772  0.911  0.407  -0.16
H  0.539  0.444  0.673  -0.01
Ga  0.390  0.147  0.525  -0.04

---

VASP calculation (PBE) on crystalline YCuAu2 at its relaxed geometry.

Output
**Calculated formation energy**: -0.60 eV/atom
**Offset from the most stable computed form**: 0 meV per atom
**Volume**: 19.1 Å³ per atom
**N(E_F)**: 0.4810 states/eV per atom

abc: 5.380 7.569 15.034
angles: 90.00 90.00 90.00
Sites, in units of the cell vectors:
Y  0.245  0.750  0.107
Cu  0.243  0.250  0.317
Au  0.763  0.945  0.534
Au  0.954  0.056  0.216
Cu  0.030  0.750  0.931
Cu  0.470  0.750  0.431
Y  0.755  0.250  0.893
Y  0.470  0.250  0.139
Au  0.546  0.444  0.716
Y  0.255  0.750  0.607
Cu  0.970  0.250  0.069
Cu  0.757  0.750  0.683
Au  0.954  0.444  0.216
Au  0.263  0.055  0.966
Au  0.546  0.056  0.716
Au  0.737  0.945  0.034
Cu  0.530  0.250  0.569
Au  0.737  0.555  0.034
Au  0.046  0.556  0.784
Au  0.263  0.445  0.966
Y  0.970  0.750  0.361
Y  0.030  0.250  0.639
Au  0.237  0.445  0.466
Au  0.046  0.944  0.784
Cu  0.257  0.250  0.817
Au  0.454  0.944  0.284
Au  0.763  0.555  0.534
Au  0.454  0.556  0.284
Y  0.530  0.750  0.861
Y  0.745  0.250  0.393
Cu  0.743  0.750  0.183
Au  0.237  0.055  0.466

---

VASP calculation (PBE) on crystalline Hf3ZrCu at its relaxed geometry.

Output
**Calculated formation energy**: 1.46 eV/atom
**Offset from the most stable computed form**: 916 meV per atom
**Volume**: 26.4 Å³ per atom
**N(E_F)**: 1.1930 states/eV per atom

abc: 5.095 5.095 5.095
angles: 90.00 90.00 90.00
Sites, in units of the cell vectors:
Hf  0.500  0.000  0.000
Zr  0.000  0.000  0.000
Cu  0.500  0.500  0.500
Hf  0.000  0.500  0.000
Hf  0.000  0.000  0.500

---

VASP calculation (PBE) on crystalline ErNpOs2 at its relaxed geometry.

Output
**Calculated formation energy**: -0.02 eV/atom
**Offset from the most stable computed form**: 30 meV per atom
**Volume**: 19.3 Å³ per atom
**N(E_F)**: 1.2566 states/eV per atom

abc: 4.778 4.778 4.778
angles: 60.00 60.00 60.00
Last column: magnetic moment on the atom in μB.
Sites, in units of the cell vectors:
Np  0.000  0.000  0.000  3.12
Os  0.750  0.750  0.750  -0.30
Os  0.250  0.250  0.250  -0.30
Er  0.500  0.500  0.500  0.04

---

VASP calculation (PBE) on crystalline BaCeSn2Au5 at its relaxed geometry.

Output
**Calculated formation energy**: -0.39 eV/atom
**Volume**: 28.8 Å³ per atom
**N(E_F)**: 1.1351 states/eV per atom

abc: 5.378 5.378 8.958
angles: 90.00 90.00 90.00
Last column: magnetic moment on the atom in μB.
Sites, in units of the cell vectors:
Ba  0.000  0.000  0.500  0.01
Sn  0.500  0.500  0.198  -0.01
Au  0.500  0.000  0.178  0.00
Ce  0.000  0.000  0.000  0.96
Au  0.500  0.500  0.500  0.00
Sn  0.500  0.500  0.802  -0.01
Au  0.500  0.000  0.822  0.00
Au  0.000  0.500  0.822  0.00
Au  0.000  0.500  0.178  0.00

---

VASP calculation (PBE) on crystalline Y2FeSiC at its relaxed geometry.

Output
**Formation energy from raw total energies**: -0.44 eV/atom
**Offset from the most stable computed form**: 0 meV per atom
**Volume**: 18.5 Å³ per atom
**N(E_F)**: 0.6812 states/eV per atom

abc: 3.920 6.064 8.275
angles: 109.55 90.00 90.00
Sites, in units of the cell vectors:
Fe  0.250  0.502  0.745
Y  0.750  0.771  0.029
C  0.250  0.806  0.826
Fe  0.750  0.498  0.255
C  0.750  0.194  0.174
Y  0.250  0.229  0.971
Y  0.750  0.784  0.612
Si  0.750  0.314  0.701
Y  0.250  0.216  0.388
Si  0.250  0.686  0.299

---

VASP calculation (PBE) on crystalline LiPuSnGe at its relaxed geometry.

Output
**Calculated formation energy**: -0.26 eV/atom
**Offset from the most stable computed form**: 80 meV per atom
**Volume**: 22.3 Å³ per atom
**N(E_F)**: 2.9552 states/eV per atom

abc: 5.012 5.012 5.012
angles: 60.00 60.00 60.00
Last column: magnetic moment on the atom in μB.
Sites, in units of the cell vectors:
Pu  0.250  0.250  0.250  5.23
Sn  0.000  0.000  0.000  -0.01
Ge  0.500  0.500  0.500  -0.03
Li  0.750  0.750  0.750  -0.01

---

VASP calculation (PBE) on crystalline HoPa2C at its relaxed geometry.

Output
**Calculated formation energy**: -0.10 eV/atom
**Volume**: 22.7 Å³ per atom
**N(E_F)**: 1.8789 states/eV per atom

abc: 3.404 3.404 9.250
angles: 79.40 79.40 60.00
Sites, in units of the cell vectors:
Ho  0.500  0.500  0.500
Pa  0.721  0.721  0.838
C  0.000  0.000  0.000
Pa  0.279  0.279  0.162

---

VASP calculation (PBE) on crystalline NpBeCl5 at its relaxed geometry.

Output
**Formation energy from raw total energies**: -1.54 eV/atom
**Volume**: 30.2 Å³ per atom
**N(E_F)**: 0.6588 states/eV per atom

abc: 6.992 6.993 10.308
angles: 113.44 113.47 85.25
Last column: magnetic moment on the atom in μB.
Sites, in units of the cell vectors:
Np  0.500  0.000  0.000  3.97
Cl  0.840  0.292  0.172  -0.02
Cl  0.792  0.340  0.672  -0.02
Cl  0.160  0.708  0.828  -0.02
Cl  0.593  0.907  0.750  -0.04
Cl  0.198  0.247  0.571  -0.01
Be  0.110  0.390  0.750  0.01
Cl  0.802  0.753  0.429  -0.01
Cl  0.407  0.093  0.250  -0.04
Np  0.500  0.000  0.500  3.97
Cl  0.252  0.302  0.929  -0.01
Be  0.890  0.610  0.250  0.01
Cl  0.748  0.698  0.071  -0.01
Cl  0.208  0.660  0.328  -0.02

---

VASP calculation (PBE) on crystalline ZrTePt2 at its relaxed geometry.

Output
**Formation energy from raw total energies**: -0.21 eV/atom
**Volume**: 27.5 Å³ per atom
**N(E_F)**: 0.3171 states/eV per atom

abc: 6.073 6.073 7.354
angles: 65.61 65.61 90.00
Sites, in units of the cell vectors:
Pt  0.375  0.373  0.750
Pt  0.123  0.625  0.250
Te  0.750  0.250  0.500
Zr  0.250  0.750  0.500
Te  0.000  0.000  0.000
Zr  0.500  0.500  0.000
Pt  0.627  0.125  0.250
Pt  0.875  0.877  0.750

---

VASP calculation (PBE) on crystalline La2BeSnI at its relaxed geometry.

Output
**Formation energy from raw total energies**: -0.10 eV/atom
**Offset from the most stable computed form**: 0 meV per atom
**Volume**: 33.7 Å³ per atom
**N(E_F)**: 1.4498 states/eV per atom

abc: 6.201 4.383 6.201
angles: 90.00 90.00 90.00
Sites, in units of the cell vectors:
I  0.500  0.500  0.500
Sn  0.000  0.000  0.000
Be  0.000  0.500  0.000
La  0.500  0.000  0.000
La  0.000  0.000  0.500

---

VASP calculation (PBE) on crystalline Y2InAu at its relaxed geometry.

Output
**Calculated formation energy**: -0.19 eV/atom
**Volume**: 24.5 Å³ per atom
**N(E_F)**: 1.2163 states/eV per atom

abc: 5.175 5.175 5.175
angles: 60.00 60.00 60.00
Last column: magnetic moment on the atom in μB.
Sites, in units of the cell vectors:
Au  0.500  0.500  0.500  0.03
In  0.750  0.750  0.750  0.02
Y  0.250  0.250  0.250  0.33
Y  0.000  0.000  0.000  0.44

---

VASP calculation (PBE) on crystalline Cs7K2Cd2 at its relaxed geometry.

Output
**Calculated formation energy**: 0.04 eV/atom
**Volume**: 88.6 Å³ per atom
**N(E_F)**: 0.9901 states/eV per atom

abc: 9.899 9.899 10.488
angles: 90.00 90.00 108.51
Sites, in units of the cell vectors:
Cs  0.000  0.500  0.751
Cs  0.500  0.000  0.751
Cs  0.000  0.000  0.500
Cd  0.288  0.712  0.500
Cs  0.500  0.000  0.249
Cs  0.000  0.500  0.249
Cs  0.500  0.500  0.720
K  0.826  0.826  0.000
Cd  0.712  0.288  0.500
K  0.174  0.174  0.000
Cs  0.500  0.500  0.280

---

VASP calculation (PBE) on crystalline TiCuI6 at its relaxed geometry.

Output
**Formation energy from raw total energies**: -0.40 eV/atom
**Offset from the most stable computed form**: 0 meV per atom
**Volume**: 39.2 Å³ per atom
**N(E_F)**: 0.6247 states/eV per atom

abc: 7.317 7.506 7.650
angles: 75.32 58.67 60.83
Sites, in units of the cell vectors:
I  0.433  0.000  0.283
I  0.151  0.703  0.759
I  0.854  0.297  0.759
Cu  0.000  0.000  0.000
Ti  0.000  0.000  0.500
I  0.567  0.000  0.717
I  0.146  0.703  0.241
I  0.849  0.297  0.241

---

VASP calculation (PBE) on crystalline CeTeSe at its relaxed geometry.

Output
**Formation energy from raw total energies**: -1.40 eV/atom
**Offset from the most stable computed form**: 0 meV per atom
**Volume**: 27.5 Å³ per atom
**N(E_F)**: 1.1028 states/eV per atom

abc: 4.458 4.458 8.303
angles: 90.00 90.00 90.00
Last column: magnetic moment on the atom in μB.
Sites, in units of the cell vectors:
Te  0.000  0.500  0.869  -0.03
Se  0.000  0.000  0.500  -0.04
Te  0.500  0.000  0.131  -0.03
Ce  0.000  0.500  0.265  0.30
Se  0.500  0.500  0.500  -0.04
Ce  0.500  0.000  0.735  0.30

---

VASP calculation (PBE) on crystalline Zr2ZnSbH at its relaxed geometry.

Output
**Total energy**: -5.47 eV/atom
**Volume**: 16.8 Å³ per atom
**N(E_F)**: 0.5406 states/eV per atom

abc: 4.434 4.434 4.268
angles: 90.00 90.00 90.00
Sites, in units of the cell vectors:
Sb  0.500  0.500  0.500
Zn  0.000  0.000  0.500
Zr  0.500  0.000  0.000
Zr  0.000  0.500  0.000
H  0.000  0.000  0.000

---

VASP calculation (PBE) on crystalline RbMg3Pb at its relaxed geometry.

Output
**Calculated formation energy**: 0.27 eV/atom
**Offset from the most stable computed form**: 0 meV per atom
**Volume**: 40.1 Å³ per atom
**N(E_F)**: 0.9859 states/eV per atom

abc: 5.851 5.851 5.851
angles: 90.00 90.00 90.00
Sites, in units of the cell vectors:
Pb  0.000  0.000  0.000
Mg  0.500  0.000  0.000
Rb  0.500  0.500  0.500
Mg  0.000  0.500  0.000
Mg  0.000  0.000  0.500

---

VASP calculation (PBE) on crystalline Li3Nd2Tl4 at its relaxed geometry.

Output
**Calculated formation energy**: -0.29 eV/atom
**Offset from the most stable computed form**: 0 meV per atom
**Volume**: 24.8 Å³ per atom
**N(E_F)**: 0.3874 states/eV per atom

abc: 5.051 5.319 9.623
angles: 79.81 90.00 61.65
Sites, in units of the cell vectors:
Tl  0.078  0.845  0.379
Tl  0.359  0.282  0.103
Tl  0.922  0.155  0.621
Nd  0.289  0.422  0.759
Nd  0.711  0.578  0.241
Li  0.615  0.769  0.589
Tl  0.641  0.718  0.897
Li  0.000  0.000  0.000
Li  0.385  0.231  0.411

---

VASP calculation (PBE) on crystalline DyRhS at its relaxed geometry.

Output
**Formation energy from raw total energies**: -1.09 eV/atom
**Volume**: 21.3 Å³ per atom
**N(E_F)**: 0.6134 states/eV per atom

abc: 4.613 4.507 8.654
angles: 118.99 90.00 120.77
Sites, in units of the cell vectors:
Dy  0.321  0.641  0.744
Rh  0.840  0.679  0.014
S  0.076  0.152  0.342
Dy  0.679  0.359  0.256
S  0.924  0.848  0.658
Rh  0.160  0.321  0.986

---

VASP calculation (PBE) on crystalline Mg2GaCoHg at its relaxed geometry.

Output
**Calculated formation energy**: 0.39 eV/atom
**Volume**: 22.7 Å³ per atom
**N(E_F)**: 0.9035 states/eV per atom

abc: 5.033 4.486 5.033
angles: 90.00 90.00 90.00
Last column: magnetic moment on the atom in μB.
Sites, in units of the cell vectors:
Co  0.000  0.500  0.000  1.57
Mg  0.000  0.000  0.500  0.00
Hg  0.500  0.500  0.500  0.03
Mg  0.500  0.000  0.000  0.01
Ga  0.000  0.000  0.000  0.00

---

VASP calculation (PBE) on crystalline ErZr3Tl2 at its relaxed geometry.

Output
**Calculated formation energy**: -0.10 eV/atom
**Volume**: 25.2 Å³ per atom
**N(E_F)**: 0.7934 states/eV per atom

abc: 4.493 11.039 6.727
angles: 105.24 109.50 90.02
Sites, in units of the cell vectors:
Zr  0.941  0.610  0.883
Zr  0.724  0.390  0.447
Tl  0.834  0.172  0.667
Er  0.841  0.899  0.683
Tl  0.166  0.828  0.333
Zr  0.609  0.603  0.218
Zr  0.391  0.397  0.782
Er  0.159  0.101  0.317
Tl  0.505  0.847  0.010
Zr  0.059  0.390  0.117
Tl  0.495  0.153  0.990
Zr  0.276  0.610  0.553

---

VASP calculation (PBE) on crystalline Be2TlCl at its relaxed geometry.

Output
**Formation energy from raw total energies**: 0.33 eV/atom
**Offset from the most stable computed form**: 172 meV per atom
**Volume**: 19.8 Å³ per atom
**N(E_F)**: 0.2034 states/eV per atom

abc: 5.408 5.408 7.300
angles: 46.51 46.51 32.09
Sites, in units of the cell vectors:
Tl  0.750  0.750  0.750
Be  0.967  0.967  0.167
Cl  0.250  0.250  0.250
Be  0.533  0.533  0.333

---

VASP calculation (PBE) on crystalline LiGaSe2 at its relaxed geometry.

Output
**Formation energy from raw total energies**: -0.90 eV/atom
**Volume**: 24.1 Å³ per atom
**N(E_F)**: 0.0000 states/eV per atom

abc: 3.957 7.756 7.291
angles: 89.98 90.06 120.67
Sites, in units of the cell vectors:
Se  0.547  0.073  0.469
Ga  0.436  0.460  0.949
Se  0.567  0.593  0.640
Ga  0.935  0.960  0.643
Se  0.050  0.573  0.124
Li  0.434  0.958  0.128
Li  0.931  0.457  0.464
Se  0.069  0.093  0.952